Entry from Alexandria: crystalline BeSe3 at its relaxed geometry (GGA-PBE).

POSCAR file:
```
BeSe3
1.0
-2.6754 2.6754 2.6754
2.6754 -2.6754 2.6754
2.6754 2.6754 -2.6754
Be Se
1 3
Cartesian
0.0000 0.0000 0.0000
2.6754 0.0000 0.0000
0.0000 2.6754 0.0000
0.0000 0.0000 2.6754
```

excess energy over the best structure of this formula in the dataset	4.79	kcal/mol of atoms
calculated total energy	-3.40	eV per atom
crystal system	cubic

=====

Entry from Alexandria: crystalline Y2CuHRh at its relaxed geometry (GGA-PBE).

POSCAR file:
```
Y2CuHRh
1.0
4.9664 0.0000 0.0000
0.0000 4.9664 0.0000
0.0000 0.0000 3.5309
Y Cu H Rh
2 1 1 1
Cartesian
0.0000 2.4832 0.0000
2.4832 0.0000 0.0000
0.0000 0.0000 1.7655
2.4832 2.4832 0.0000
2.4832 2.4832 1.7655
```

excess energy over the best structure of this formula in the dataset	0.07	kcal/mol of atoms
calculated total energy	-6.07	eV per atom
crystal system	tetragonal

=====

Entry from Alexandria: crystalline Ta3Ru4 at its relaxed geometry (GGA-PBE).

POSCAR file:
```
Ta3Ru4
1.0
-1.5800 1.5800 11.2225
1.5800 -1.5800 11.2225
1.5800 1.5800 -11.2225
Ta Ru
3 4
Cartesian
0.0000 0.0000 0.0000
0.0000 0.0000 6.5169
0.0000 0.0000 15.9280
0.0000 0.0000 3.3028
0.0000 0.0000 9.7593
0.0000 0.0000 12.6856
0.0000 0.0000 19.1421
```

excess energy over the best structure of this formula in the dataset	0.00	kcal/mol of atoms
calculated total energy	-10.52	eV per atom
formation energy from the elements	-0.14	eV/atom
crystal system	tetragonal

=====

Entry from Alexandria: crystalline V5Tc4Rh at its relaxed geometry (GGA-PBE).

POSCAR file:
```
V5Tc4Rh
1.0
3.0274 0.0000 0.0000
0.0000 3.0274 0.0000
0.0000 0.0000 15.1371
V Tc Rh
5 4 1
Cartesian
0.0000 0.0000 0.0000
0.0000 0.0000 3.0105
0.0000 0.0000 5.9670
0.0000 0.0000 9.1700
0.0000 0.0000 12.1266
1.5137 1.5137 1.5127
1.5137 1.5137 4.5497
1.5137 1.5137 10.5874
1.5137 1.5137 13.6243
1.5137 1.5137 7.5685
```

calculated total energy	-9.79	eV per atom
formation energy from the elements	-0.35	eV/atom
crystal system	tetragonal

=====

Entry from Alexandria: crystalline InTePb2 at its relaxed geometry (GGA-PBE).

POSCAR file:
```
InTePb2
1.0
1.7158 0.9906 11.8205
-1.7158 0.9906 11.8205
0.0000 -1.9812 11.8205
In Te Pb
1 1 2
Cartesian
0.0000 0.0000 0.0000
0.0000 0.0000 17.7307
0.0000 0.0000 8.9212
0.0000 0.0000 26.5403
```

excess energy over the best structure of this formula in the dataset	3.26	kcal/mol of atoms
calculated total energy	-3.26	eV per atom
crystal system	trigonal

=====

Entry from Alexandria: crystalline LiAcPd2O4 at its relaxed geometry (GGA-PBE).

POSCAR file:
```
LiAcPd2O4
1.0
-2.8184 2.8184 3.3884
2.8184 -2.8184 3.3884
2.8184 2.8184 -3.3884
Li Ac Pd O
1 1 2 4
Cartesian
0.0000 0.0000 0.0000
0.0000 0.0000 3.3884
2.8184 0.0000 1.6942
0.0000 2.8184 1.6942
1.6977 -1.6977 2.0762
1.1207 1.1207 1.3122
-1.6977 1.6977 2.0762
1.6977 1.6977 4.7006
```

calculated total energy	-6.12	eV per atom
crystal system	tetragonal

=====

Entry from Alexandria: crystalline Na2PdBr at its relaxed geometry (GGA-PBE).

POSCAR file:
```
Na2PdBr
1.0
-3.9555 3.9555 3.0786
3.9555 -3.9555 3.0786
3.9555 3.9555 -3.0786
Na Pd Br
4 2 2
Cartesian
5.9333 1.9502 -0.7696
1.9502 1.9778 0.7696
-1.9778 2.0053 2.3089
2.0053 1.9778 3.8482
3.9555 0.0000 1.5393
0.0000 0.0000 3.0786
0.0000 0.0000 0.0000
0.0000 3.9555 1.5393
```

calculated total energy	-2.73	eV per atom
crystal system	tetragonal

=====

Entry from Alexandria: crystalline Sr2LiNb at its relaxed geometry (GGA-PBE).

POSCAR file:
```
Sr2LiNb
1.0
0.0000 4.0910 4.0910
4.0910 0.0000 4.0910
4.0910 4.0910 0.0000
Sr Li Nb
2 1 1
Cartesian
2.0455 2.0455 2.0455
6.1364 6.1364 6.1364
0.0000 0.0000 0.0000
4.0910 4.0910 4.0910
```

excess energy over the best structure of this formula in the dataset	0.00	kcal/mol of atoms
calculated total energy	-3.15	eV per atom
formation energy from the elements	0.69	eV/atom
crystal system	cubic

=====

Entry from Alexandria: crystalline Pm2PuMn at its relaxed geometry (GGA-PBE).

POSCAR file:
```
Pm2PuMn
1.0
3.5152 0.0000 0.0000
0.0000 3.5152 0.0000
0.0000 0.0000 8.8770
Pm Pu Mn
2 1 1
Cartesian
0.0000 0.0000 1.8570
0.0000 0.0000 7.0200
1.7576 1.7576 4.4385
1.7576 1.7576 0.0000
```

calculated total energy	-8.02	eV per atom
formation energy from the elements	0.23	eV/atom
crystal system	tetragonal

=====

Entry from Alexandria: crystalline Tm2AgS at its relaxed geometry (GGA-PBE).

POSCAR file:
```
Tm2AgS
1.0
1.9599 -11.3037 0.0000
1.9599 11.3037 0.0000
0.0000 0.0000 4.0051
Tm Ag S
4 2 2
Cartesian
1.9599 9.6083 3.0038
1.9599 4.2249 3.0038
1.9599 -4.2249 1.0013
1.9599 -9.6083 1.0013
1.9599 0.9923 3.0038
1.9599 -0.9923 1.0013
1.9599 6.9020 3.0038
1.9599 -6.9020 1.0013
```

excess energy over the best structure of this formula in the dataset	0.00	kcal/mol of atoms
calculated total energy	-5.09	eV per atom
crystal system	orthorhombic

=====

Entry from Alexandria: crystalline InCoRu2 at its relaxed geometry (GGA-PBE).

POSCAR file:
```
InCoRu2
1.0
4.4840 -1.4196 0.0000
4.4840 1.4196 0.0000
-0.8889 0.0000 4.6710
In Co Ru
1 1 2
Cartesian
0.0000 0.0000 0.0000
1.5234 0.0000 3.5300
4.0772 0.0000 2.3554
6.5398 0.0000 1.4695
```

calculated total energy	-6.85	eV per atom
formation energy from the elements	0.25	eV/atom
crystal system	monoclinic

=====

Entry from Alexandria: crystalline La2ThRh at its relaxed geometry (GGA-PBE).

POSCAR file:
```
La2ThRh
1.0
7.2305 0.0000 0.0000
0.0000 10.2643 0.0000
0.0000 0.0000 6.5891
La Th Rh
8 4 4
Cartesian
1.2950 0.6682 1.0776
1.2950 4.4640 1.0776
2.3202 5.8004 4.3721
2.3202 9.5961 4.3721
4.9102 0.6682 2.2170
4.9102 4.4640 2.2170
5.9355 5.8004 5.5115
5.9355 9.5961 5.5115
0.2875 2.5661 4.4153
3.3277 7.6982 1.1207
3.9028 2.5661 5.4683
6.9429 7.6982 2.1738
0.9759 7.6982 6.2972
2.6393 2.5661 3.0026
4.5912 7.6982 3.5864
6.2545 2.5661 0.2919
```

excess energy over the best structure of this formula in the dataset	0.00	kcal/mol of atoms
calculated total energy	-6.60	eV per atom
formation energy from the elements	-0.44	eV/atom
crystal system	orthorhombic

=====

Entry from Alexandria: crystalline TbDyTm3 at its relaxed geometry (GGA-PBE).

POSCAR file:
```
TbDyTm3
1.0
3.5813 0.0000 0.0000
0.0000 11.3937 0.0000
-1.7905 0.0000 8.2069
Tb Dy Tm
2 2 6
Cartesian
0.0012 2.8484 3.1286
1.7897 8.5453 5.0783
-0.0017 8.5453 7.9309
1.7926 2.8484 0.2760
-0.0009 8.5453 2.4344
0.0004 0.0109 5.6659
0.0004 5.6860 5.6659
1.7904 5.7077 2.5410
1.7904 11.3828 2.5410
1.7918 2.8484 5.7726
```

excess energy over the best structure of this formula in the dataset	7.47	kcal/mol of atoms
calculated total energy	-4.20	eV per atom
formation energy from the elements	0.32	eV/atom
crystal system	monoclinic

=====

Entry from Alexandria: crystalline Gd2PtAu at its relaxed geometry (GGA-PBE).

POSCAR file:
```
Gd2PtAu
1.0
3.5732 0.0000 0.0000
0.0000 3.5732 0.0000
0.0000 0.0000 7.2107
Gd Pt Au
2 1 1
Cartesian
0.0000 0.0000 1.7282
0.0000 0.0000 5.4825
1.7866 1.7866 0.0000
1.7866 1.7866 3.6054
```

calculated total energy	-10.37	eV per atom
formation energy from the elements	-1.00	eV/atom
crystal system	tetragonal

=====

Entry from Alexandria: crystalline YTa2SnSb at its relaxed geometry (GGA-PBE).

POSCAR file:
```
YTa2SnSb
1.0
5.1260 0.0000 0.0000
0.0000 5.1260 0.0000
0.0000 0.0000 5.4960
Y Ta Sn Sb
1 2 1 1
Cartesian
0.0000 0.0000 0.0000
0.0000 2.5630 0.0000
2.5630 0.0000 0.0000
2.5630 2.5630 2.7480
0.0000 0.0000 2.7480
```

calculated total energy	-5.82	eV per atom
crystal system	tetragonal

=====

Entry from Alexandria: crystalline ZnInPb2 at its relaxed geometry (GGA-PBE).

POSCAR file:
```
ZnInPb2
1.0
1.8579 -2.8314 0.0000
1.8579 2.8314 0.0000
0.0000 0.0000 10.3530
Zn In Pb
1 1 2
Cartesian
0.0000 0.0000 0.0000
1.8579 0.0000 2.2005
0.0000 0.0000 5.0228
1.8579 0.0000 7.9706
```

calculated total energy	-2.75	eV per atom
formation energy from the elements	0.11	eV/atom
crystal system	orthorhombic

=====

Entry from Alexandria: crystalline Tb3Sm6Er2Tl at its relaxed geometry (GGA-PBE).

POSCAR file:
```
Tb3Sm6Er2Tl
1.0
3.0855 -5.3567 0.0000
3.0855 5.3567 0.0000
-2.0866 0.0000 11.5390
Tb Sm Er Tl
3 6 2 1
Cartesian
0.0000 0.0000 0.0000
3.0855 1.7965 0.0000
3.0855 -1.7965 0.0000
1.0396 1.7610 2.9241
0.0009 0.0000 8.6360
1.0396 -1.7610 2.9241
3.0449 1.7610 8.6149
4.0835 0.0000 2.9030
3.0449 -1.7610 8.6149
2.0422 3.5783 5.7695
2.0422 -3.5783 5.7695
2.0422 0.0000 5.7695
```

calculated total energy	-4.48	eV per atom
formation energy from the elements	-0.01	eV/atom
crystal system	monoclinic

=====

Entry from Alexandria: crystalline Ca2ZnNi3P4 at its relaxed geometry (GGA-PBE).

POSCAR file:
```
Ca2ZnNi3P4
1.0
4.0016 0.0000 0.0000
0.0000 4.0016 0.0000
0.0000 0.0000 9.5350
Ca Zn Ni P
2 1 3 4
Cartesian
0.0000 2.0008 2.2853
2.0008 0.0000 7.2497
0.0000 0.0000 4.7675
0.0000 2.0008 8.4364
2.0008 0.0000 1.0986
2.0008 2.0008 4.7675
0.0000 0.0000 0.0000
0.0000 2.0008 6.1493
2.0008 0.0000 3.3857
2.0008 2.0008 0.0000
```

calculated total energy	-5.17	eV per atom
formation energy from the elements	-0.74	eV/atom
crystal system	tetragonal

=====

Entry from Alexandria: crystalline Ag2HAu at its relaxed geometry (GGA-PBE).

POSCAR file:
```
Ag2HAu
1.0
1.4526 0.8387 8.1818
-1.4526 0.8387 8.1818
0.0000 -1.6774 8.1818
Ag H Au
2 1 1
Cartesian
0.0000 0.0000 2.7553
0.0000 0.0000 21.7903
0.0000 0.0000 12.2728
0.0000 0.0000 0.0000
```

excess energy over the best structure of this formula in the dataset	0.98	kcal/mol of atoms
calculated total energy	-2.85	eV per atom
crystal system	trigonal

=====

Entry from Alexandria: crystalline KIn2CuSe4 at its relaxed geometry (GGA-PBE).

POSCAR file:
```
KIn2CuSe4
1.0
0.0000 4.3946 6.3424
4.3894 0.0000 6.3424
4.3894 4.3946 0.0000
K In Cu Se
1 2 1 4
Cartesian
0.0000 0.0000 0.0000
2.1947 2.1973 3.1630
6.5841 6.5919 9.5054
4.3894 4.3946 6.3299
6.2127 4.3946 4.6556
4.3894 2.5747 8.0117
2.5662 4.3946 4.6556
4.3894 6.2146 8.0117
```

calculated total energy	-3.64	eV per atom
crystal system	orthorhombic

=====

Entry from Alexandria: crystalline Cu3As2O8 at its relaxed geometry (GGA-PBE).

POSCAR file:
```
Cu3As2O8
1.0
6.2656 0.0000 0.0000
0.0000 7.9233 0.0000
-2.1964 0.0000 6.2738
Cu As O
6 4 16
Cartesian
0.0000 0.0000 0.0000
-1.0982 3.9617 3.1369
0.8184 1.8803 2.4775
-0.2798 2.0813 5.6144
4.3490 5.8420 0.6594
3.2508 6.0430 3.7964
1.2926 4.8640 0.9405
0.1944 7.0209 4.0774
3.8747 0.9024 2.1964
2.7765 3.0593 5.3333
-1.0443 5.8774 3.5479
0.0539 6.0076 0.4109
-0.4288 0.0779 5.3919
0.6694 3.8838 2.2550
-0.4764 3.9841 5.8141
0.6218 7.9009 2.6772
2.5407 1.8010 1.5767
1.4425 2.1606 4.7136
2.6267 5.7627 1.5602
1.5284 6.1223 4.6971
3.4474 0.0224 3.5966
4.5456 3.9392 0.4597
3.3997 4.0395 4.0188
4.4979 7.8454 0.8819
4.0153 1.9157 5.8629
5.1135 2.0460 2.7260
```

excess energy over the best structure of this formula in the dataset	0.63	kcal/mol of atoms
calculated total energy	-5.55	eV per atom
crystal system	monoclinic

=====

Entry from Alexandria: crystalline BaSrBr2 at its relaxed geometry (GGA-PBE).

POSCAR file:
```
BaSrBr2
1.0
0.0000 4.0800 4.0800
4.0800 0.0000 4.0800
4.0800 4.0800 0.0000
Ba Sr Br
1 1 2
Cartesian
0.0000 0.0000 0.0000
4.0800 4.0800 4.0800
2.0400 2.0400 2.0400
6.1200 6.1200 6.1200
```

excess energy over the best structure of this formula in the dataset	5.69	kcal/mol of atoms
calculated total energy	-2.99	eV per atom
crystal system	cubic

=====

Entry from Alexandria: crystalline CaSb2Pt at its relaxed geometry (GGA-PBE).

POSCAR file:
```
CaSb2Pt
1.0
5.2552 -2.1004 0.0000
5.2552 2.1004 0.0000
-2.3133 0.0000 4.9455
Ca Sb Pt
1 2 1
Cartesian
0.0000 0.0000 0.0000
0.4995 0.0000 3.2836
3.1764 0.0000 1.2901
7.0416 0.0000 2.1831
```

calculated total energy	-4.67	eV per atom
crystal system	monoclinic

=====

Entry from Alexandria: crystalline MnCoIr2 at its relaxed geometry (GGA-PBE).

POSCAR file:
```
MnCoIr2
1.0
4.3194 -1.3497 0.0000
4.3194 1.3497 0.0000
-0.8451 0.0000 4.5451
Mn Co Ir
1 1 2
Cartesian
0.0000 0.0000 0.0000
3.8968 0.0000 2.2725
1.5243 0.0000 3.3944
6.2694 0.0000 1.1507
```

calculated total energy	-8.53	eV per atom
formation energy from the elements	-0.03	eV/atom
crystal system	monoclinic

=====

Entry from Alexandria: crystalline La2PrAl2Zn2 at its relaxed geometry (GGA-PBE).

POSCAR file:
```
La2PrAl2Zn2
1.0
2.2622 1.3061 9.5603
-2.2622 1.3061 9.5603
0.0000 -2.6121 9.5603
La Pr Al Zn
2 1 2 2
Cartesian
0.0000 0.0000 3.9372
0.0000 0.0000 24.7438
0.0000 0.0000 0.0000
0.0000 0.0000 7.5313
0.0000 0.0000 21.1496
0.0000 0.0000 11.5678
0.0000 0.0000 17.1131
```

calculated total energy	-3.86	eV per atom
formation energy from the elements	-0.34	eV/atom
crystal system	trigonal